(1)
This record from the Alexandria database describes a relaxed structure of Cs3Li. The functional is PBE-GGA.

Computed properties:
* crystal system: tetragonal
* N(E_F): 3.04 states/eV/f.u.

abc: 7.6406 7.6406 11.2267
angles: 90.00 90.00 90.00
Space group I4/mmm (No. 139)
Symmetry-distinct sites (fractional):
Cs1 0.0000 0.0000 0.0000
Cs2 0.0000 0.5000 0.2500
Li1 0.0000 0.0000 0.5000



(2)
This record from the Alexandria database describes a relaxed structure of CsLi. The functional is PBE-GGA.

Computed properties:
* crystal system: cubic
* N(E_F): 0.07 states/eV/f.u.

abc: 11.7085 11.7085 11.7085
angles: 90.00 90.00 90.00
Space group Pm-3n (No. 223)
Symmetry-distinct sites (fractional):
Cs1 0.0000 0.2500 0.5000
Li1 0.0000 0.5000 0.2500



Q: Which electronic total energy values were calculated for the entries above? A: -0.98; -0.91, in eV per atom.